# MnMoOsPt2

MnMoOsPt2 after structural relaxation (PBE-GGA, Alexandria via LeMat-Bulk).

Cell and atoms, written as CIF:
```
data_MnMoOsPt2
_symmetry_space_group_name_H-M 'P 4/m m m'
_symmetry_Int_Tables_number 123
_symmetry_space_group_name_Hall '-P 4 2'
_cell_length_a 4.7950
_cell_length_b 4.7950
_cell_length_c 4.6498
_cell_angle_alpha 90.00
_cell_angle_beta 90.00
_cell_angle_gamma 90.00
loop_
_atom_site_label
_atom_site_type_symbol
_atom_site_fract_x
_atom_site_fract_y
_atom_site_fract_z
_atom_site_occupancy
Mn1 Mn 0.0000 0.0000 0.0000 1
Mo1 Mo 0.5000 0.5000 0.5000 1
Os1 Os 0.5000 0.5000 0.0000 1
Pt1 Pt 0.0000 0.5000 0.5000 1
```

Values from the calculation:
Size of the total moment ... 0.147 μB/atom
Calculated volume ... 107 Å³/f.u.
Electronic total energy ... -0.492 Ry/atom
E_form ... 1.96 eV per atom

# Nd3BiSe3

Nd3BiSe3 after structural relaxation (PBE-GGA, Alexandria via LeMat-Bulk).

Cell and atoms, written as CIF:
```
data_Nd3BiSe3
_symmetry_space_group_name_H-M 'R -3'
_symmetry_Int_Tables_number 148
_symmetry_space_group_name_Hall '-R 3'
_cell_length_a 8.5541
_cell_length_b 8.5541
_cell_length_c 22.1944
_cell_angle_alpha 90.00
_cell_angle_beta 90.00
_cell_angle_gamma 120.00
loop_
_atom_site_label
_atom_site_type_symbol
_atom_site_fract_x
_atom_site_fract_y
_atom_site_fract_z
_atom_site_occupancy
Nd1 Nd 0.0129 0.6241 0.4099 1
Bi1 Bi 0.0000 0.0000 0.1656 1
Se1 Se 0.0154 0.7330 0.6111 1
```

Values from the calculation:
Size of the total moment ... 0.000 μB/atom
Calculated volume ... 234 Å³/f.u.
Electronic total energy ... -0.412 Ry/atom

# Pd2AuI

Pd2AuI after structural relaxation (PBE-GGA, Alexandria via LeMat-Bulk).

Cell and atoms, written as CIF:
```
data_Pd2AuI
_symmetry_space_group_name_H-M 'I -4 2 d'
_symmetry_Int_Tables_number 122
_symmetry_space_group_name_Hall 'I -4 2bw'
_cell_length_a 7.5495
_cell_length_b 7.5495
_cell_length_c 5.7379
_cell_angle_alpha 90.00
_cell_angle_beta 90.00
_cell_angle_gamma 90.00
loop_
_atom_site_label
_atom_site_type_symbol
_atom_site_fract_x
_atom_site_fract_y
_atom_site_fract_z
_atom_site_occupancy
Pd1 Pd 0.2491 0.2500 0.1250 1
Au1 Au 0.0000 0.0000 0.0000 1
I1 I 0.0000 0.0000 0.5000 1
```

Values from the calculation:
E above lowest polymorph ... 45 meV/atom
Size of the total moment ... 0.000 μB/atom
Calculated volume ... 82 Å³/f.u.
Electronic total energy ... -0.260 Ry/atom